Compound: Ho6Cu5Ag
Source: Alexandria
Functional: PBE
Structure: optimized geometry

Cell: 4.9438 6.9160 7.8147 Å, 90.00 71.56 90.00°
Fractional positions:
Cu  0.6652  0.0000  0.6696
Cu  0.0000  0.5000  0.0000
Cu  0.6649  0.5000  0.6702
Cu  0.3351  0.5000  0.3298
Cu  0.3348  0.0000  0.3304
Ho  0.5000  0.2570  0.0000
Ho  0.1698  0.7469  0.6604
Ho  0.1698  0.2531  0.6604
Ho  0.8302  0.7469  0.3396
Ho  0.8302  0.2531  0.3396
Ho  0.5000  0.7430  0.0000
Ag  0.0000  0.0000  0.0000

Compound: Ho4CuAg
Source: Alexandria
Functional: PBE
Structure: optimized geometry

Cell: 6.8472 7.1989 6.8760 Å, 90.00 95.39 90.00°
Fractional positions:
Ho  0.1775  0.8349  0.6529
Ho  0.3225  0.3349  0.3471
Ho  0.1189  0.3453  0.8381
Ho  0.6189  0.1547  0.8381
Ho  0.6775  0.6651  0.6529
Ho  0.8225  0.1651  0.3471
Ho  0.8811  0.6547  0.1619
Ho  0.3811  0.8453  0.1619
Ag  0.0000  0.0000  0.0000
Ag  0.5000  0.5000  0.0000
Cu  0.0000  0.5000  0.5000
Cu  0.5000  0.0000  0.5000

Compound: Ho2CuAg
Source: Alexandria
Functional: PBE
Structure: optimized geometry

Cell: 3.5255 3.5255 7.1223 Å, 90.00 90.00 90.00°
Fractional positions:
Cu  0.5000  0.5000  0.0000
Ho  0.0000  0.0000  0.7639
Ho  0.0000  0.0000  0.2361
Ag  0.5000  0.5000  0.5000

Number 1: calculated formation energy -3.25 eV per formula unit, DOS(E_F) 0.449 states/eV per atom. Number 2: calculated formation energy 0.17 eV per formula unit, DOS(E_F) 1.417 states/eV per atom. Number 3: calculated formation energy -1.17 eV per formula unit, DOS(E_F) 0.626 states/eV per atom.